5
Lattice="4.2023 0.0000 0.0000 0.0000 4.2023 0.0000 0.0000 0.0000 5.7745" Properties=species:S:1:pos:R:3 comment="GGA+U InMoIO2, relaxed" density_kg_m3=6020 sg=P4/mmm volume_a3_per_atom=20.39 polymorph_energy_mev_per_atom=0 energy_ev_per_atom=-4.80 pbc="T T T"
In 0.0000 0.0000 0.0000
Mo 2.1011 2.1011 2.8872
I 2.1011 2.1011 0.0000
O 0.0000 2.1011 2.8872
O 2.1011 0.0000 2.8872